An optimized crystal structure of Zr2CuTe, computed with PBE-GGA.

Cell and atoms, written as CIF:
```
data_Zr2CuTe
_cell_length_a 4.1232
_cell_length_b 4.7297
_cell_length_c 8.2696
_cell_angle_alpha 90.00
_cell_angle_beta 90.00
_cell_angle_gamma 90.00
_symmetry_space_group_name_H-M 'I m m m'
_symmetry_Int_Tables_number 71
_symmetry_space_group_name_Hall '-I 2 2'
loop_
_atom_site_label
_atom_site_type_symbol
_atom_site_fract_x
_atom_site_fract_y
_atom_site_fract_z
_atom_site_occupancy
Zr1 Zr 0.0000 0.0000 0.2438 1
Cu1 Cu 0.0000 0.5000 0.5000 1
Te1 Te 0.0000 0.5000 0.0000 1
```

## Properties
Formation energy from raw total energies, eV/atom: -0.3004

An optimized crystal structure of Zr2CuTe, computed with PBE-GGA.

Cell and atoms, written as CIF:
```
data_Zr2CuTe
_cell_length_a 6.1774
_cell_length_b 7.6883
_cell_length_c 3.4073
_cell_angle_alpha 90.00
_cell_angle_beta 90.00
_cell_angle_gamma 90.00
_symmetry_space_group_name_H-M 'C m m m'
_symmetry_Int_Tables_number 65
_symmetry_space_group_name_Hall '-C 2 2'
loop_
_atom_site_label
_atom_site_type_symbol
_atom_site_fract_x
_atom_site_fract_y
_atom_site_fract_z
_atom_site_occupancy
Zr1 Zr 0.2500 0.2500 0.0000 1
Cu1 Cu 0.0000 0.0000 0.5000 1
Te1 Te 0.0000 0.5000 0.5000 1
```

## Properties
Formation energy from raw total energies, eV/atom: -0.3025

An optimized crystal structure of ZrCuTe, computed with PBE-GGA.

Cell and atoms, written as CIF:
```
data_ZrCuTe
_cell_length_a 3.9377
_cell_length_b 5.8837
_cell_length_c 5.9103
_cell_angle_alpha 69.61
_cell_angle_beta 78.38
_cell_angle_gamma 74.44
_symmetry_space_group_name_H-M 'P -1'
_symmetry_Int_Tables_number 2
loop_
_symmetry_equiv_pos_as_xyz
'x,y,z'
'-x,-y,-z'
loop_
_atom_site_label
_atom_site_type_symbol
_atom_site_fract_x
_atom_site_fract_y
_atom_site_fract_z
_atom_site_occupancy
Zr1 Zr 0.1205 0.1619 0.1614 1
Cu1 Cu 0.3799 0.5802 0.1671 1
Te1 Te 0.2881 0.2222 0.6258 1
```

## Properties
Formation energy from raw total energies, eV/atom: -0.3381

An optimized crystal structure of ZrCuTe, computed with PBE-GGA.

Cell and atoms, written as CIF:
```
data_ZrCuTe
_cell_length_a 10.4907
_cell_length_b 3.6569
_cell_length_c 6.9105
_cell_angle_alpha 90.00
_cell_angle_beta 104.73
_cell_angle_gamma 90.00
_symmetry_space_group_name_H-M 'C 1 2/m 1'
_symmetry_Int_Tables_number 12
loop_
_symmetry_equiv_pos_as_xyz
'x,y,z'
'-x,-y,-z'
'-x,y,-z'
'x,-y,z'
'x+1/2,y+1/2,z'
'-x+1/2,-y+1/2,-z'
'-x+1/2,y+1/2,-z'
'x+1/2,-y+1/2,z'
loop_
_atom_site_label
_atom_site_type_symbol
_atom_site_fract_x
_atom_site_fract_y
_atom_site_fract_z
_atom_site_occupancy
Zr1 Zr 0.1541 0.0000 0.1340 1
Cu1 Cu 0.1709 0.5000 0.4716 1
Te1 Te 0.0600 0.5000 0.7873 1
```

## Properties
Formation energy from raw total energies, eV/atom: -0.3639

An optimized crystal structure of ZrCuTe4, computed with PBE-GGA.

Cell and atoms, written as CIF:
```
data_ZrCuTe4
_cell_length_a 9.9111
_cell_length_b 7.7786
_cell_length_c 9.0884
_cell_angle_alpha 90.00
_cell_angle_beta 90.00
_cell_angle_gamma 90.00
_symmetry_space_group_name_H-M 'C m c m'
_symmetry_Int_Tables_number 63
_symmetry_space_group_name_Hall '-C 2c 2'
loop_
_atom_site_label
_atom_site_type_symbol
_atom_site_fract_x
_atom_site_fract_y
_atom_site_fract_z
_atom_site_occupancy
Zr1 Zr 0.0000 0.0972 0.2500 1
Cu1 Cu 0.0000 0.4829 0.7500 1
Te1 Te 0.0000 0.2213 0.5594 1
Te2 Te 0.2166 0.3401 0.2500 1
```

## Properties
Formation energy from raw total energies, eV/atom: -0.2406

An optimized crystal structure of ZrCuTe3, computed with PBE-GGA.

Cell and atoms, written as CIF:
```
data_ZrCuTe3
_cell_length_a 5.0715
_cell_length_b 5.0715
_cell_length_c 5.0715
_cell_angle_alpha 90.00
_cell_angle_beta 90.00
_cell_angle_gamma 90.00
_symmetry_space_group_name_H-M 'P m -3 m'
_symmetry_Int_Tables_number 221
_symmetry_space_group_name_Hall '-P 4 2 3'
loop_
_atom_site_label
_atom_site_type_symbol
_atom_site_fract_x
_atom_site_fract_y
_atom_site_fract_z
_atom_site_occupancy
Zr1 Zr 0.0000 0.0000 0.0000 1
Cu1 Cu 0.5000 0.5000 0.5000 1
Te1 Te 0.0000 0.5000 0.5000 1
```

## Properties
Formation energy from raw total energies, eV/atom: 0.3335

An optimized crystal structure of ZrCu2Te3, computed with PBE-GGA.

Cell and atoms, written as CIF:
```
data_ZrCu2Te3
_cell_length_a 4.0941
_cell_length_b 7.3810
_cell_length_c 10.5114
_cell_angle_alpha 98.75
_cell_angle_beta 101.18
_cell_angle_gamma 90.03
_symmetry_space_group_name_H-M 'P -1'
_symmetry_Int_Tables_number 2
loop_
_symmetry_equiv_pos_as_xyz
'x,y,z'
'-x,-y,-z'
loop_
_atom_site_label
_atom_site_type_symbol
_atom_site_fract_x
_atom_site_fract_y
_atom_site_fract_z
_atom_site_occupancy
Zr1 Zr 0.1466 0.0516 0.2919 1
Cu1 Cu 0.2155 0.4241 0.4286 1
Cu2 Cu 0.4495 0.8519 0.9020 1
Te1 Te 0.0865 0.3622 0.1699 1
Te2 Te 0.2498 0.7821 0.5004 1
Te3 Te 0.4202 0.1816 0.8418 1
```

## Properties
Formation energy from raw total energies, eV/atom: -0.5083

An optimized crystal structure of ZrCuTe4, computed with PBE-GGA.

Cell and atoms, written as CIF:
```
data_ZrCuTe4
_cell_length_a 8.7403
_cell_length_b 8.7403
_cell_length_c 8.7403
_cell_angle_alpha 90.00
_cell_angle_beta 90.00
_cell_angle_gamma 90.00
_symmetry_space_group_name_H-M 'F -4 3 m'
_symmetry_Int_Tables_number 216
_symmetry_space_group_name_Hall 'F -4 2 3'
loop_
_atom_site_label
_atom_site_type_symbol
_atom_site_fract_x
_atom_site_fract_y
_atom_site_fract_z
_atom_site_occupancy
Zr1 Zr 0.0000 0.0000 0.0000 1
Cu1 Cu 0.2500 0.2500 0.7500 1
Te1 Te 0.1250 0.1250 0.3750 1
```

## Properties
Formation energy from raw total energies, eV/atom: 0.7288

An optimized crystal structure of ZrCuTe, computed with PBE-GGA.

Cell and atoms, written as CIF:
```
data_ZrCuTe
_cell_length_a 10.3398
_cell_length_b 4.1172
_cell_length_c 5.9353
_cell_angle_alpha 90.00
_cell_angle_beta 102.76
_cell_angle_gamma 90.00
_symmetry_space_group_name_H-M 'C 1 m 1'
_symmetry_Int_Tables_number 8
loop_
_symmetry_equiv_pos_as_xyz
'x,y,z'
'x,-y,z'
'x+1/2,y+1/2,z'
'x+1/2,-y+1/2,z'
loop_
_atom_site_label
_atom_site_type_symbol
_atom_site_fract_x
_atom_site_fract_y
_atom_site_fract_z
_atom_site_occupancy
Zr1 Zr 0.0000 0.0000 0.0000 1
Zr2 Zr 0.1496 0.5000 0.5843 1
Cu1 Cu 0.4134 0.0000 0.2411 1
Cu2 Cu 0.4906 0.5000 0.4831 1
Te1 Te 0.2209 0.5000 0.0998 1
Te2 Te 0.3672 0.0000 0.6744 1
```

## Properties
Formation energy from raw total energies, eV/atom: -0.4280

An optimized crystal structure of Zr2CuTe, computed with PBE-GGA.

Cell and atoms, written as CIF:
```
data_Zr2CuTe
_cell_length_a 7.5017
_cell_length_b 7.5017
_cell_length_c 6.1214
_cell_angle_alpha 90.00
_cell_angle_beta 90.00
_cell_angle_gamma 90.00
_symmetry_space_group_name_H-M 'I -4 2 d'
_symmetry_Int_Tables_number 122
_symmetry_space_group_name_Hall 'I -4 2bw'
loop_
_atom_site_label
_atom_site_type_symbol
_atom_site_fract_x
_atom_site_fract_y
_atom_site_fract_z
_atom_site_occupancy
Zr1 Zr 0.2299 0.2500 0.1250 1
Cu1 Cu 0.0000 0.0000 0.0000 1
Te1 Te 0.0000 0.0000 0.5000 1
```

## Properties
Formation energy from raw total energies, eV/atom: -0.1427

An optimized crystal structure of Zr2Cu2Te, computed with PBE-GGA.

Cell and atoms, written as CIF:
```
data_Zr2Cu2Te
_cell_length_a 6.8155
_cell_length_b 6.8155
_cell_length_c 4.0153
_cell_angle_alpha 90.00
_cell_angle_beta 90.00
_cell_angle_gamma 90.00
_symmetry_space_group_name_H-M 'P 4/m b m'
_symmetry_Int_Tables_number 127
_symmetry_space_group_name_Hall '-P 4 2ab'
loop_
_atom_site_label
_atom_site_type_symbol
_atom_site_fract_x
_atom_site_fract_y
_atom_site_fract_z
_atom_site_occupancy
Zr1 Zr 0.1661 0.3339 0.0000 1
Cu1 Cu 0.1238 0.6238 0.5000 1
Te1 Te 0.0000 0.0000 0.5000 1
```

## Properties
Formation energy from raw total energies, eV/atom: -0.2207

An optimized crystal structure of ZrCuTe3, computed with PBE-GGA.

Cell and atoms, written as CIF:
```
data_ZrCuTe3
_cell_length_a 5.5665
_cell_length_b 5.5665
_cell_length_c 5.5665
_cell_angle_alpha 90.00
_cell_angle_beta 90.00
_cell_angle_gamma 90.00
_symmetry_space_group_name_H-M 'P m -3 m'
_symmetry_Int_Tables_number 221
_symmetry_space_group_name_Hall '-P 4 2 3'
loop_
_atom_site_label
_atom_site_type_symbol
_atom_site_fract_x
_atom_site_fract_y
_atom_site_fract_z
_atom_site_occupancy
Zr1 Zr 0.0000 0.0000 0.0000 1
Cu1 Cu 0.5000 0.5000 0.5000 1
Te1 Te 0.0000 0.0000 0.5000 1
```

## Properties
Formation energy from raw total energies, eV/atom: 0.2623